No. 1
First-principles (PBE) data for MgVMo after structural relaxation, as listed in the Alexandria database.

For the density, the calculation gives 5.7 g/cm³. The calculation puts the calculated formation energy at 0.41 eV/atom.

It has space group P-6m2 (No. 187), with a = 2.9098 Å, b = 2.9098 Å, c = 13.7019 Å, α = 90.00°, β = 90.00° and γ = 120.00°. The inequivalent atoms are Mg at (0.0000, 0.0000, 0.1773), V at (0.3333, 0.6667, 0.3573), Mo at (0.0000, 0.0000, 0.5000) and Mo at (0.3333, 0.6667, 0.0000).

***

No. 2
First-principles (PBE) data for Mg2ZrVMo after structural relaxation, as listed in the Alexandria database.

For the density, the calculation gives 4.1 g/cm³. The calculation puts the calculated formation energy at 1.33 eV/atom.

It has space group P4/mmm (No. 123), with a = 4.992 Å, b = 4.992 Å, c = 4.612 Å, α = 90.00°, β = 90.00° and γ = 90.00°. The inequivalent atoms are Mg at (0.000, 0.500, 0.000), Zr at (0.000, 0.000, 0.500), V at (0.000, 0.000, 0.000) and Mo at (0.500, 0.500, 0.500).

***

No. 3
First-principles (PBE) data for Mg2MoW after structural relaxation, as listed in the Alexandria database.

For the density, the calculation gives 8.1 g/cm³. The polymorph energy (0 for the lowest one) comes out at 0.165 eV/atom. The calculation puts the calculated formation energy at 0.39 eV/atom.

It has space group F-43m (No. 216), with a = 6.468 Å, b = 6.468 Å, c = 6.468 Å, α = 90.00°, β = 90.00° and γ = 90.00°. The inequivalent atoms are Mg at (0.000, 0.000, 0.000), Mg at (0.250, 0.250, 0.250), Mo at (0.250, 0.250, 0.750) and W at (0.000, 0.000, 0.500).

***

No. 4
First-principles (PBE) data for Mg2MoW after structural relaxation, as listed in the Alexandria database.

For the density, the calculation gives 7.5 g/cm³. The polymorph energy (0 for the lowest one) comes out at 0.920 eV/atom. The calculation puts the calculated formation energy at 1.14 eV/atom.

It has space group I-42d (No. 122), with a = 7.413 Å, b = 7.413 Å, c = 5.304 Å, α = 90.00°, β = 90.00° and γ = 90.00°. The inequivalent atoms are Mg at (0.246, 0.750, 0.125), Mo at (0.000, 0.000, 0.000) and W at (0.000, 0.000, 0.500).

***

No. 5
First-principles (PBE) data for MgMoW2 after structural relaxation, as listed in the Alexandria database.

For the density, the calculation gives 12.1 g/cm³. The calculation puts the calculated formation energy at 0.50 eV/atom.

It has space group R-3m (No. 166, hexagonal axes), with a = 2.8077 Å, b = 2.8077 Å, c = 29.5448 Å, α = 90.00°, β = 90.00° and γ = 120.00°. The inequivalent atoms are Mg at (0.0000, 0.0000, 0.0000), Mo at (0.0000, 0.0000, 0.5000) and W at (0.0000, 0.0000, 0.2486).

***

No. 6
First-principles (PBE) data for MgMoW2 after structural relaxation, as listed in the Alexandria database.

For the density, the calculation gives 12.3 g/cm³. The calculation puts the calculated formation energy at 0.35 eV/atom.

It has space group Imm2 (No. 44), with a = 3.203 Å, b = 4.570 Å, c = 9.012 Å, α = 90.00°, β = 90.00° and γ = 90.00°. The inequivalent atoms are Mg at (0.000, 0.000, 0.000), Mo at (0.000, 0.500, 0.763), W at (0.000, 0.000, 0.498) and W at (0.000, 0.500, 0.234).

***

No. 7
First-principles (PBE) data for Mg2MoW after structural relaxation, as listed in the Alexandria database.

For the density, the calculation gives 7.8 g/cm³. The polymorph energy (0 for the lowest one) comes out at 0.070 eV/atom. The calculation puts the calculated formation energy at 0.29 eV/atom.

It has space group Pm (No. 6), with a = 2.769 Å, b = 4.509 Å, c = 5.671 Å, α = 90.00°, β = 99.67° and γ = 90.00°. The inequivalent atoms are Mg at (0.000, 0.000, 0.000), Mg at (0.256, 0.500, 0.741), Mo at (0.727, 0.500, 0.267) and W at (0.547, 0.000, 0.474).

***

No. 8
First-principles (PBE) data for MgMoW2 after structural relaxation, as listed in the Alexandria database.

For the density, the calculation gives 12.4 g/cm³. The calculation puts the calculated formation energy at 0.30 eV/atom.

It has space group C2/m (No. 12), with a = 5.549 Å, b = 9.188 Å, c = 2.714 Å, α = 90.00°, β = 109.60° and γ = 90.00°. The inequivalent atoms are Mg at (0.000, 0.000, 0.000), Mo at (0.000, 0.500, 0.000) and W at (0.250, 0.250, 0.500).

***

No. 9
First-principles (PBE) data for MgMoW2 after structural relaxation, as listed in the Alexandria database.

For the density, the calculation gives 11.0 g/cm³. The calculation puts the calculated formation energy at 1.06 eV/atom.

It has space group I-42d (No. 122), with a = 7.405 Å, b = 7.405 Å, c = 5.394 Å, α = 90.00°, β = 90.00° and γ = 90.00°. The inequivalent atoms are Mg at (0.000, 0.000, 0.000), Mo at (0.000, 0.000, 0.500) and W at (0.211, 0.250, 0.625).

***

No. 10
First-principles (PBE) data for MgMoW2 after structural relaxation, as listed in the Alexandria database.

For the density, the calculation gives 12.4 g/cm³. The calculation puts the calculated formation energy at 0.42 eV/atom.

It has space group F-43m (No. 216), with a = 6.389 Å, b = 6.389 Å, c = 6.389 Å, α = 90.00°, β = 90.00° and γ = 90.00°. The inequivalent atoms are Mg at (0.000, 0.000, 0.000), Mo at (0.250, 0.250, 0.250), W at (0.000, 0.000, 0.500) and W at (0.250, 0.250, 0.750).

***

No. 11
First-principles (PBE) data for Mg2MoW after structural relaxation, as listed in the Alexandria database.

For the density, the calculation gives 8.0 g/cm³. The polymorph energy (0 for the lowest one) comes out at 0.738 eV/atom. The calculation puts the calculated formation energy at 0.96 eV/atom.

It has space group Fm-3m (No. 225), with a = 6.479 Å, b = 6.479 Å, c = 6.479 Å, α = 90.00°, β = 90.00° and γ = 90.00°. The inequivalent atoms are Mg at (0.250, 0.250, 0.250), Mo at (0.000, 0.000, 0.000) and W at (0.000, 0.000, 0.500).

***

No. 12
First-principles (PBE) data for Mg2MoW after structural relaxation, as listed in the Alexandria database.

For the density, the calculation gives 7.6 g/cm³. The polymorph energy (0 for the lowest one) comes out at 0.000 eV/atom. The calculation puts the calculated formation energy at 0.22 eV/atom.

It has space group Cmm2 (No. 35), with a = 3.241 Å, b = 4.630 Å, c = 9.535 Å, α = 90.00°, β = 90.00° and γ = 90.00°. The inequivalent atoms are Mg at (0.000, 0.000, 0.000), Mg at (0.000, 0.500, 0.281), Mo at (0.000, 0.000, 0.530) and W at (0.000, 0.500, 0.750).

***

No. 13
First-principles (PBE) data for MgMoW2 after structural relaxation, as listed in the Alexandria database.

For the density, the calculation gives 12.4 g/cm³. The calculation puts the calculated formation energy at 0.50 eV/atom.

It has space group I4/mmm (No. 139), with a = 3.875 Å, b = 3.875 Å, c = 8.737 Å, α = 90.00°, β = 90.00° and γ = 90.00°. The inequivalent atoms are Mg at (0.000, 0.000, 0.000), Mo at (0.000, 0.000, 0.500) and W at (0.000, 0.500, 0.250).

***

No. 14
First-principles (PBE) data for Mg2MoW after structural relaxation, as listed in the Alexandria database.

For the density, the calculation gives 7.6 g/cm³. The polymorph energy (0 for the lowest one) comes out at 0.174 eV/atom. The calculation puts the calculated formation energy at 0.40 eV/atom.

It has space group Imm2 (No. 44), with a = 3.361 Å, b = 4.809 Å, c = 8.913 Å, α = 90.00°, β = 90.00° and γ = 90.00°. The inequivalent atoms are Mg at (0.000, 0.000, 0.000), Mg at (0.000, 0.500, 0.238), Mo at (0.000, 0.500, 0.767) and W at (0.000, 0.000, 0.469).

***

No. 15
First-principles (PBE) data for Mg2MoW after structural relaxation, as listed in the Alexandria database.

For the density, the calculation gives 8.0 g/cm³. The polymorph energy (0 for the lowest one) comes out at 0.164 eV/atom. The calculation puts the calculated formation energy at 0.39 eV/atom.

It has space group C2/m (No. 12), with a = 5.437 Å, b = 9.422 Å, c = 2.718 Å, α = 90.00°, β = 101.18° and γ = 90.00°. The inequivalent atoms are Mg at (0.250, 0.250, 0.000), Mo at (0.000, 0.000, 0.500) and W at (0.000, 0.500, 0.500).

***

No. 16
First-principles (PBE) data for MgMoW2 after structural relaxation, as listed in the Alexandria database.

For the density, the calculation gives 12.2 g/cm³. The calculation puts the calculated formation energy at 0.46 eV/atom.

It has space group Cmmm (No. 65), with a = 5.497 Å, b = 8.991 Å, c = 2.680 Å, α = 90.00°, β = 90.00° and γ = 90.00°. The inequivalent atoms are Mg at (0.000, 0.000, 0.000), Mo at (0.000, 0.500, 0.000) and W at (0.250, 0.250, 0.500).

***

No. 17
First-principles (PBE) data for MgMo3W after structural relaxation, as listed in the Alexandria database.

For the density, the calculation gives 7.5 g/cm³. The polymorph energy (0 for the lowest one) comes out at 0.000 eV/atom. The calculation puts the calculated formation energy at 1.58 eV/atom.

It has space group Pm-3m (No. 221), with a = 4.790 Å, b = 4.790 Å, c = 4.790 Å, α = 90.00°, β = 90.00° and γ = 90.00°. The inequivalent atoms are Mg at (0.000, 0.000, 0.000), Mo at (0.000, 0.500, 0.500) and W at (0.500, 0.500, 0.500).

***

No. 18
First-principles (PBE) data for MgMoW2 after structural relaxation, as listed in the Alexandria database.

For the density, the calculation gives 12.0 g/cm³. The calculation puts the calculated formation energy at 0.40 eV/atom.

It has space group P4mm (No. 99), with a = 3.175 Å, b = 3.175 Å, c = 6.711 Å, α = 90.00°, β = 90.00° and γ = 90.00°. The inequivalent atoms are Mg at (0.000, 0.000, 0.000), Mo at (0.500, 0.500, 0.274), W at (0.000, 0.000, 0.498) and W at (0.500, 0.500, 0.723).

***

No. 19
First-principles (PBE) data for Mg2MoW after structural relaxation, as listed in the Alexandria database.

For the density, the calculation gives 7.9 g/cm³. The polymorph energy (0 for the lowest one) comes out at 0.141 eV/atom. The calculation puts the calculated formation energy at 0.36 eV/atom.

It has space group Cm (No. 8), with a = 9.404 Å, b = 2.731 Å, c = 5.410 Å, α = 90.00°, β = 93.28° and γ = 90.00°. The inequivalent atoms are Mg at (0.000, 0.000, 0.000), Mg at (0.246, 0.000, 0.755), Mo at (0.000, 0.500, 0.481) and W at (0.245, 0.500, 0.273).

***

No. 20
First-principles (PBE) data for MgMoW2 after structural relaxation, as listed in the Alexandria database.

For the density, the calculation gives 12.2 g/cm³. The calculation puts the calculated formation energy at 0.22 eV/atom.

It has space group Cmmm (No. 65), with a = 3.203 Å, b = 4.475 Å, c = 9.266 Å, α = 90.00°, β = 90.00° and γ = 90.00°. The inequivalent atoms are Mg at (0.000, 0.000, 0.000), Mo at (0.000, 0.000, 0.500) and W at (0.000, 0.500, 0.261).

***

| no. | N(E_F) (states/eV per atom) |
| --- | --- |
| 1 | 1.081 |
| 2 | 0.868 |
| 3 | 0.662 |
| 4 | 0.586 |
| 5 | 1.211 |
| 6 | 0.639 |
| 7 | 0.504 |
| 8 | 0.557 |
| 9 | 0.551 |
| 10 | 1.314 |
| 11 | 1.539 |
| 12 | 0.583 |
| 13 | 0.763 |
| 14 | 0.450 |
| 15 | 0.647 |
| 16 | 0.975 |
| 17 | 2.198 |
| 18 | 1.079 |
| 19 | 0.366 |
| 20 | 0.721 |